[1]
Entry from Alexandria: a relaxed structure of Tb8Ni2Ir (PBE).

Theoretical density ... 9.5 Mg/m³
Total DFT energy (no corrections) ... -5.5443 eV/atom
Calculated volume ... 277 Å³ per cell
Magnetic moment ... 0.0 μB per formula unit
Symmetry ... No. 12
ΔH_f (0 K) ... -340 kJ/mol of formula units
E above lowest polymorph ... 0.0000 eV/atom

Cell: 5.030 6.626 8.954 Å, 103.98 106.31 90.00°
Fractional positions:
Tb1 0.410 0.557 0.821
Tb2 0.670 0.978 0.340
Tb3 0.798 0.668 0.596
Tb4 0.962 0.208 0.925
Tb5 0.202 0.332 0.404
Tb6 0.330 0.022 0.660
Tb7 0.590 0.443 0.179
Tb8 0.038 0.792 0.075
Ni1 0.810 0.272 0.620
Ni2 0.190 0.728 0.380
Ir1 0.500 0.000 0.000

[2]
Entry from Alexandria: a relaxed structure of Tb3Ni3Ir (PBE).

Theoretical density ... 10.6 Mg/m³
Total DFT energy (no corrections) ... -6.2343 eV/atom
Calculated volume ... 265 Å³ per cell
Magnetic moment ... 0.0 μB per formula unit
Symmetry ... No. 63
ΔH_f (0 K) ... -342 kJ/mol of formula units

Cell: 4.275 5.307 12.784 Å, 90.00 90.00 113.75°
Fractional positions:
Tb1 0.220 0.439 0.899
Tb2 0.780 0.561 0.101
Tb3 0.220 0.439 0.601
Tb4 0.780 0.561 0.399
Tb5 0.510 0.019 0.750
Tb6 0.490 0.981 0.250
Ni1 0.930 0.860 0.912
Ni2 0.070 0.140 0.088
Ni3 0.930 0.860 0.588
Ni4 0.070 0.140 0.412
Ni5 0.802 0.605 0.750
Ni6 0.198 0.395 0.250
Ir1 0.500 0.000 0.000
Ir2 0.500 0.000 0.500

[3]
Entry from Alexandria: a relaxed structure of Tb7Ni2Ir2 (PBE).

Theoretical density ... 8.9 Mg/m³
Total DFT energy (no corrections) ... -5.9177 eV/atom
Calculated volume ... 301 Å³ per cell
Magnetic moment ... 0.0 μB per formula unit
Symmetry ... No. 65
ΔH_f (0 K) ... -328 kJ/mol of formula units

Cell: 6.676 6.878 6.676 Å, 90.00 101.22 90.00°
Fractional positions:
Tb1 0.000 0.260 0.500
Tb2 0.500 0.740 0.000
Tb3 0.000 0.740 0.500
Tb4 0.500 0.260 0.000
Tb5 0.000 0.000 0.000
Tb6 0.500 0.743 0.500
Tb7 0.500 0.257 0.500
Ni1 0.760 0.500 0.760
Ni2 0.240 0.500 0.240
Ir1 0.724 0.000 0.276
Ir2 0.276 0.000 0.724

[4]
Entry from Alexandria: a relaxed structure of Tb5Ni2Ir (PBE).

Theoretical density ... 10.0 Mg/m³
Total DFT energy (no corrections) ... -5.9153 eV/atom
Calculated volume ... 368 Å³ per cell
Magnetic moment ... 0.0 μB per formula unit
Symmetry ... No. 140
ΔH_f (0 K) ... -362 kJ/mol of formula units

Cell: 7.061 7.061 8.911 Å, 113.34 113.34 90.00°
Fractional positions:
Tb1 0.529 0.679 0.708
Tb2 0.821 0.971 0.292
Tb3 0.000 0.000 0.000
Tb4 0.500 0.500 0.000
Tb5 0.179 0.029 0.708
Tb6 0.679 0.179 0.708
Tb7 0.029 0.529 0.708
Tb8 0.321 0.821 0.292
Tb9 0.971 0.471 0.292
Tb10 0.471 0.321 0.292
Ni1 0.119 0.381 0.000
Ni2 0.619 0.119 0.000
Ni3 0.381 0.881 0.000
Ni4 0.881 0.619 0.000
Ir1 0.750 0.750 0.500
Ir2 0.250 0.250 0.500

[5]
Entry from Alexandria: a relaxed structure of Tb2Ni3Ir (PBE).

Theoretical density ... 10.6 Mg/m³
Total DFT energy (no corrections) ... -6.0456 eV/atom
Calculated volume ... 107 Å³ per cell
Magnetic moment ... 0.0 μB per formula unit
Symmetry ... No. 71
ΔH_f (0 K) ... -78 kJ/mol of formula units
E above lowest polymorph ... 0.4232 eV/atom

Cell: 4.539 5.138 5.738 Å, 116.60 113.30 90.00°
Fractional positions:
Tb1 0.690 0.190 0.380
Tb2 0.310 0.810 0.620
Ni1 0.376 0.376 0.751
Ni2 0.000 0.000 0.000
Ni3 0.624 0.624 0.249
Ir1 0.000 0.500 0.000

[6]
Entry from Alexandria: a relaxed structure of Tb3NiIr (PBE).

Theoretical density ... 10.4 Mg/m³
Total DFT energy (no corrections) ... -6.2204 eV/atom
Calculated volume ... 463 Å³ per cell
Magnetic moment ... 0.0 μB per formula unit
Symmetry ... No. 14
ΔH_f (0 K) ... -248 kJ/mol of formula units
E above lowest polymorph ... 0.0000 eV/atom

Cell: 6.252 9.948 8.167 Å, 114.28 90.00 90.00°
Fractional positions:
Tb1 0.000 0.701 0.859
Tb2 0.000 0.299 0.141
Tb3 0.500 0.799 0.141
Tb4 0.500 0.201 0.859
Tb5 0.500 0.496 0.723
Tb6 0.500 0.504 0.277
Tb7 0.000 0.004 0.277
Tb8 0.000 0.996 0.723
Tb9 0.000 0.319 0.671
Tb10 0.000 0.681 0.329
Tb11 0.500 0.181 0.329
Tb12 0.500 0.819 0.671
Ni1 0.814 0.500 0.500
Ni2 0.186 0.500 0.500
Ni3 0.314 0.000 0.500
Ni4 0.686 0.000 0.500
Ir1 0.232 0.500 0.000
Ir2 0.768 0.500 0.000
Ir3 0.732 0.000 0.000
Ir4 0.268 0.000 0.000

[7]
Entry from Alexandria: a relaxed structure of Tb5NiIr4 (PBE).

Theoretical density ... 13.3 Mg/m³
Total DFT energy (no corrections) ... -7.1339 eV/atom
Calculated volume ... 203 Å³ per cell
Magnetic moment ... 0.0 μB per formula unit
Symmetry ... No. 123
ΔH_f (0 K) ... -672 kJ/mol of formula units

Cell: 3.403 3.403 17.554 Å, 90.00 90.00 90.00°
Fractional positions:
Tb1 0.500 0.500 0.100
Tb2 0.500 0.500 0.299
Tb3 0.500 0.500 0.500
Tb4 0.500 0.500 0.701
Tb5 0.500 0.500 0.900
Ni1 0.000 0.000 0.000
Ir1 0.000 0.000 0.197
Ir2 0.000 0.000 0.399
Ir3 0.000 0.000 0.601
Ir4 0.000 0.000 0.803

[8]
Entry from Alexandria: a relaxed structure of Tb4Ni2Ir (PBE).

Theoretical density ... 10.0 Mg/m³
Total DFT energy (no corrections) ... -6.0315 eV/atom
Calculated volume ... 314 Å³ per cell
Magnetic moment ... 0.0 μB per formula unit
Symmetry ... No. 122
ΔH_f (0 K) ... -316 kJ/mol of formula units

Cell: 7.419 7.420 7.419 Å, 109.04 109.04 110.34°
Fractional positions:
Tb1 0.994 0.248 0.370
Tb2 0.372 0.502 0.247
Tb3 0.878 0.625 0.630
Tb4 0.752 0.122 0.747
Tb5 0.376 0.006 0.253
Tb6 0.256 0.125 0.753
Tb7 0.498 0.744 0.870
Tb8 0.875 0.628 0.130
Ni1 0.503 0.375 0.628
Ni2 0.747 0.875 0.372
Ni3 0.625 0.253 0.128
Ni4 0.125 0.497 0.872
Ir1 0.250 0.750 0.500
Ir2 0.000 0.000 0.000

[9]
Entry from Alexandria: a relaxed structure of TbNi3Ir2 (PBE).

Theoretical density ... 13.7 Mg/m³
Total DFT energy (no corrections) ... -6.7877 eV/atom
Calculated volume ... 174 Å³ per cell
Magnetic moment ... 0.0 μB per formula unit
Symmetry ... No. 166
ΔH_f (0 K) ... -99 kJ/mol of formula units
E above lowest polymorph ... 0.0894 eV/atom

Cell: 5.503 5.503 7.350 Å, 68.02 68.02 60.00°
Fractional positions:
Tb1 0.786 0.786 0.642
Tb2 0.214 0.214 0.358
Ni1 0.254 0.713 0.319
Ni2 0.713 0.254 0.319
Ni3 0.713 0.713 0.319
Ni4 0.287 0.746 0.681
Ni5 0.746 0.287 0.681
Ni6 0.287 0.287 0.681
Ir1 0.000 0.000 0.000
Ir2 0.000 0.500 0.000
Ir3 0.500 0.500 0.000
Ir4 0.500 0.000 0.000

[10]
Entry from Alexandria: a relaxed structure of TbNiIr2 (PBE).

Theoretical density ... 12.2 Mg/m³
Total DFT energy (no corrections) ... -7.1930 eV/atom
Calculated volume ... 327 Å³ per cell
Magnetic moment ... 0.0 μB per formula unit
Symmetry ... No. 13
ΔH_f (0 K) ... -62 kJ/mol of formula units

Cell: 8.185 9.408 6.487 Å, 90.00 90.00 40.90°
Fractional positions:
Tb1 0.000 0.250 0.709
Tb2 0.500 0.750 0.214
Tb3 0.000 0.750 0.291
Tb4 0.500 0.250 0.786
Ni1 0.500 0.750 0.652
Ni2 0.500 0.250 0.348
Ni3 0.000 0.250 0.155
Ni4 0.000 0.750 0.845
Ir1 0.000 0.000 0.000
Ir2 0.500 0.500 0.500
Ir3 0.379 0.633 0.865
Ir4 0.621 0.367 0.135
Ir5 0.621 0.867 0.865
Ir6 0.379 0.133 0.135
Ir7 0.000 0.500 0.000
Ir8 0.500 0.000 0.500

[11]
Entry from Alexandria: a relaxed structure of Tb2Ni2Ir (PBE).

Theoretical density ... 11.4 Mg/m³
Total DFT energy (no corrections) ... -6.5002 eV/atom
Calculated volume ... 182 Å³ per cell
Magnetic moment ... 0.0 μB per formula unit
Symmetry ... No. 15
ΔH_f (0 K) ... -272 kJ/mol of formula units
E above lowest polymorph ... 0.0000 eV/atom

Cell: 5.165 5.165 7.992 Å, 78.26 78.26 61.61°
Fractional positions:
Tb1 0.480 0.220 0.152
Tb2 0.780 0.520 0.348
Tb3 0.520 0.780 0.848
Tb4 0.220 0.480 0.652
Ni1 0.746 0.996 0.498
Ni2 0.004 0.254 0.002
Ni3 0.254 0.004 0.502
Ni4 0.996 0.746 0.998
Ir1 0.164 0.836 0.250
Ir2 0.836 0.164 0.750

[12]
Entry from Alexandria: a relaxed structure of Tb2Ni3Ir (PBE).

Theoretical density ... 11.7 Mg/m³
Total DFT energy (no corrections) ... -6.4688 eV/atom
Calculated volume ... 97 Å³ per cell
Magnetic moment ... 0.0 μB per formula unit
Symmetry ... No. 166
ΔH_f (0 K) ... -323 kJ/mol of formula units
E above lowest polymorph ... 0.0000 eV/atom

Cell: 5.088 5.088 5.229 Å, 90.00 119.15 119.96°
Fractional positions:
Tb1 0.753 0.376 0.129
Tb2 0.247 0.624 0.871
Ni1 0.500 0.500 0.500
Ni2 0.000 0.000 0.500
Ni3 0.500 0.000 0.500
Ir1 0.000 0.000 0.000